Below is an optimized crystal structure of KZrAg3, with properties calculated at the GGA-PBE level.

- energy above the most stable polymorph in this dataset (meV/atom) = 675
- energy of formation (eV/atom) = 1.35

a = 5.2045 Å, b = 5.2045 Å, c = 5.2045 Å
α = 90.00°, β = 90.00°, γ = 90.00°
Space group Pm-3m (No. 221)
One atom of each set of equivalent atoms:
K  0.0000  0.0000  0.0000 [1 per cell]
Zr  0.5000  0.5000  0.5000 [1 per cell]
Ag  0.0000  0.0000  0.5000 [3 per cell]